Record 1
VASP calculation (PBE-GGA) on an optimized crystal structure of Nd4SmZn5.

a b c (Å): 3.6754 3.6754 18.4151
angles (deg): 90.00 90.00 90.00
With the nearest neighbours (Å) after each atom.
Space group P4/mmm (No. 123)
One atom of each set of equivalent atoms:
Nd (0.0000, 0.0000, 0.1005) (multiplicity 2)  8 Zn 3.19
Nd (0.0000, 0.0000, 0.3015) (multiplicity 2)  8 Zn 3.20
Sm (0.0000, 0.0000, 0.5000) (multiplicity 1)  8 Zn 3.15
Zn (0.5000, 0.5000, 0.0000) (multiplicity 1)  8 Nd 3.19
Zn (0.5000, 0.5000, 0.2006) (multiplicity 2)  8 Nd 3.19-3.20
Zn (0.5000, 0.5000, 0.4031) (multiplicity 2)  4 Sm 3.15, 4 Nd 3.20

Output
formation energy: -307 meV/atom
volume: 248.8 Å³ per cell

Record 2
VASP calculation (PBE-GGA) on an optimized crystal structure of Dy2UPbS8.

a b c (Å): 5.6010 6.7277 8.3149
angles (deg): 90.02 90.13 91.04
With the nearest neighbours (Å) after each atom.
Space group P-1 (No. 2)
One atom of each set of equivalent atoms:
Dy (0.0010, 0.9999, 0.2683) (multiplicity 2)  6 S 2.66-2.94
U (0.5000, 0.5000, 0.5000) (multiplicity 1)  6 S 2.53-2.64
Pb (0.5000, 0.5000, 0.0000) (multiplicity 1)  6 S 2.87-3.06
S (0.2439, 0.3547, 0.2759) (multiplicity 2)  1 U 2.53, 1 Dy 2.73
S (0.2452, 0.3534, 0.7231) (multiplicity 2)  1 U 2.53, 1 Dy 2.73
S (0.2545, 0.8320, 0.5008) (multiplicity 2)  1 U 2.64, 2 Dy 2.66
S (0.3298, 0.9294, 0.9999) (multiplicity 2)  1 S 2.11

Output
formation energy from raw total energies: -1.173 eV/atom
volume: 313.3 Å³ per cell